(1)
NiAuS2 | PBE | relaxed

Calculated values
- E (eV/cell) = -17.4
- magnetic moment (μB/f.u.) = 0.00

a = 6.6034 Å, b = 6.6034 Å, c = 6.6034 Å
α = 33.00°, β = 33.00°, γ = 33.00°
Closest atoms and distances in Å follow each position.
Positions (direct):
S: 0.6360 0.6360 0.6360  3 Ni 2.22, 1 Au 2.38
S: 0.1102 0.1102 0.1102  1 Ni 2.14
Ni: 0.9958 0.9958 0.9958  4 S 2.14-2.22
Au: 0.5090 0.5090 0.5090  4 S 2.38-2.49

---

(2)
ZnTe2IBr | PBE | relaxed

Calculated values
- E (eV/cell) = -7.0
- relative energy among the computed polymorphs (eV per atom) = 0.443
- magnetic moment (μB/f.u.) = 0.00

a = 5.6672 Å, b = 5.6672 Å, c = 5.8716 Å
α = 90.00°, β = 90.00°, γ = 90.00°
Closest atoms and distances in Å follow each position.
Positions (direct):
Te: 0.0000 0.5000 0.0000  2 Br 2.83
Te: 0.5000 0.0000 0.0000  2 Br 2.83
Br: 0.0000 0.0000 0.0000  4 Te 2.83, 2 I 2.94
I: 0.0000 0.0000 0.5000  2 Br 2.94
Zn: 0.5000 0.5000 0.5000  4 I 4.01, 8 Te 4.08

---

(3)
La3DyY7 | PBE | relaxed

Calculated values
- E (eV/cell) = -63.3
- relative energy among the computed polymorphs (eV per atom) = 0.000
- ΔH_f (0 K) (eV per atom) = 0.12
- magnetic moment (μB/f.u.) = 0.00

a = 6.7752 Å, b = 6.5973 Å, c = 8.7277 Å
α = 81.76°, β = 80.16°, γ = 95.16°
Closest atoms and distances in Å follow each position.
Positions (direct):
Y: 0.2935 0.4398 0.1479  6 Y 3.40-3.63, 3 La 3.56-3.79, 1 Dy 3.64
Y: 0.7305 0.9890 0.5795  6 Y 3.40-3.76, 1 Dy 3.67, 2 La 3.73-3.75
Y: 0.7065 0.5602 0.8521  6 Y 3.40-3.63, 3 La 3.56-3.79, 1 Dy 3.64
Y: 0.2233 0.7167 0.7880  1 Dy 3.43, 6 Y 3.45-3.76, 4 La 3.46-3.67
Y: 0.0000 0.5000 0.5000  2 Dy 3.39, 2 La 3.42, 6 Y 3.46-3.60
Y: 0.7767 0.2833 0.2120  1 Dy 3.43, 6 Y 3.45-3.76, 4 La 3.46-3.67
Y: 0.2695 0.0110 0.4205  6 Y 3.40-3.76, 1 Dy 3.67, 2 La 3.73-3.75
La: 0.5000 0.0000 0.0000  8 Y 3.46-3.79, 4 La 3.76-3.87
La: 0.0622 0.1949 0.8355  6 Y 3.42-3.73, 2 La 3.50-3.76
La: 0.9378 0.8051 0.1645  6 Y 3.42-3.73, 2 La 3.50-3.76
Dy: 0.5000 0.5000 0.5000  8 Y 3.39-3.67

---

(4)
SrLiOs2O8 | PBE | relaxed

Calculated values
- E (eV/cell) = -82.8
- magnetic moment (μB/f.u.) = 3.02

a = 5.2429 Å, b = 5.2429 Å, c = 7.5352 Å
α = 87.67°, β = 87.67°, γ = 70.71°
Closest atoms and distances in Å follow each position.
Positions (direct):
O: 0.2236 0.7333 0.7762  1 Os 1.80
O: 0.2920 0.2920 0.5579  1 Os 1.80
O: 0.2393 0.2393 0.9611  1 Os 1.76
O: 0.7607 0.7607 0.0389  1 Os 1.76
O: 0.7080 0.7080 0.4421  1 Os 1.80
O: 0.7333 0.2236 0.7762  1 Os 1.80
O: 0.2667 0.7764 0.2238  1 Os 1.80
O: 0.7764 0.2667 0.2238  1 Os 1.80
Os: 0.6288 0.6288 0.2251  4 O 1.76-1.80
Os: 0.3713 0.3713 0.7749  4 O 1.76-1.80
Sr: 0.0000 0.0000 0.5000  6 O 2.56
Li: 0.0000 0.0000 0.0000  6 O 2.05-2.26